Version 1
Ca2NbFeO6, optimized geometry, DFT GGA+U; space group = P2_1/c; spin magnetization = 5.00 μB per formula unit
1.0
-2.690 -2.649 3.972
1.941 -4.909 -1.960
6.254 0.606 4.676
O Fe Ca Nb
12 2 4 2
direct
0.202 0.707 0.050 O
0.295 0.204 0.047 O
0.298 0.207 0.450 O
0.408 0.471 0.749 O
0.705 0.796 0.953 O
0.908 0.029 0.249 O
0.205 0.704 0.453 O
0.592 0.529 0.251 O
0.798 0.293 0.950 O
0.795 0.296 0.547 O
0.702 0.793 0.550 O
0.092 0.971 0.751 O
0.500 0.500 0.000 Fe
0.000 0.000 0.500 Fe
0.512 0.050 0.752 Ca
0.988 0.550 0.748 Ca
0.012 0.450 0.252 Ca
0.488 0.950 0.248 Ca
0.000 0.000 0.000 Nb
0.500 0.500 0.500 Nb



Version 2
Ca2NbFeO6, optimized geometry, DFT GGA+U; space group = P-1; spin magnetization = 1.00 μB per formula unit
1.0
-2.634 0.055 -4.828
-4.959 -2.330 -0.486
-4.453 3.149 -0.699
O Nb Ca Fe
6 1 2 1
direct
0.975 0.569 0.304 O
0.520 0.618 0.847 O
0.112 0.014 0.256 O
0.111 0.519 0.751 O
0.521 0.113 0.352 O
0.658 0.063 0.800 O
0.316 0.316 0.052 Nb
0.080 0.068 0.804 Ca
0.553 0.565 0.299 Ca
0.816 0.816 0.552 Fe



What is the least stable structure shown above? It is version 2.